Entry 1:
Density functional theory data (PBE-GGA) for a relaxed structure of Cs2LaCBr6.

Output
Uncorrected formation energy, eV/atom: -0.960
Symmetry: I4/mmm, No. 139

Geometry as POSCAR:
```
Cs2LaCBr6
1.0
-2.874 -5.014 5.044
-1.322 -4.969 -5.692
3.817 -7.533 0.520
Cs C Br La
2 1 6 1
direct
0.750 0.250 0.500
0.250 0.750 0.500
0.500 0.500 0.000
0.225 0.225 0.550
0.775 0.775 0.450
0.271 0.271 0.000
0.729 0.729 0.000
0.729 0.271 0.000
0.271 0.729 0.000
0.000 0.000 0.000
```

=====

Entry 2:
Density functional theory data (PBE-GGA) for a relaxed structure of Dy6Tl3O.

Output
Uncorrected formation energy, eV/atom: -0.801
Symmetry: Cmc2_1, No. 36

Geometry as POSCAR:
```
Dy6Tl3O
1.0
5.313 0.000 0.000
0.000 10.315 -0.815
0.000 -3.096 9.873
Dy Tl O
12 6 2
direct
0.150 0.750 0.584
0.650 0.584 0.750
0.154 0.444 0.897
0.654 0.897 0.444
0.149 0.088 0.912
0.664 0.234 0.766
0.164 0.766 0.234
0.649 0.912 0.088
0.154 0.103 0.556
0.654 0.556 0.103
0.150 0.416 0.250
0.650 0.250 0.416
0.647 0.915 0.760
0.147 0.760 0.915
0.149 0.423 0.577
0.649 0.577 0.423
0.147 0.085 0.240
0.647 0.240 0.085
0.120 0.215 0.785
0.620 0.785 0.215
```

=====

Entry 3:
Density functional theory data (PBE-GGA) for a relaxed structure of Ba3GeTe.

Output
Uncorrected formation energy, eV/atom: -0.645
Symmetry: Pm-3m, No. 221
ΔE to the lowest computed polymorph, meV per atom: 0.0

Geometry as POSCAR:
```
Ba3GeTe
1.0
6.307 0.000 0.000
0.000 6.307 0.000
0.000 0.000 6.307
Ge Te Ba
1 1 3
direct
0.000 0.000 0.000
0.500 0.500 0.500
0.000 0.500 0.000
0.000 0.000 0.500
0.500 0.000 0.000
```

=====

Entry 4:
Density functional theory data (PBE-GGA) for a relaxed structure of Zn2SbCl.

Output
Uncorrected formation energy, eV/atom: 0.096
Symmetry: I-4m2, No. 119
ΔE to the lowest computed polymorph, meV per atom: 443.8

Geometry as POSCAR:
```
Zn2SbCl
1.0
7.208 0.686 0.000
4.725 5.486 0.000
-5.967 -3.086 2.702
Cl Sb Zn
1 1 2
direct
0.500 0.500 0.000
0.750 0.250 0.500
0.000 0.000 0.000
0.250 0.750 0.500
```

=====

Entry 5:
Density functional theory data (PBE-GGA) for a relaxed structure of Zr2InSb.

Output
Uncorrected formation energy, eV/atom: -0.350
Symmetry: P4mm, No. 99
ΔE to the lowest computed polymorph, meV per atom: 36.6

Geometry as POSCAR:
```
Zr2InSb
1.0
-0.839 3.089 -2.265
-2.606 1.240 2.655
4.351 3.213 2.770
In Sb Zr
1 1 2
direct
0.000 0.000 0.481
0.500 0.500 0.770
0.000 0.000 0.995
0.500 0.500 0.254
```

=====

Entry 6:
Density functional theory data (PBE-GGA) for a relaxed structure of CoAgIrCl6.

Output
Uncorrected formation energy, eV/atom: -0.468
Symmetry: P-31c, No. 163

Geometry as POSCAR:
```
CoAgIrCl6
1.0
-2.675 -4.667 -3.169
5.162 2.723 -2.218
6.718 -7.889 5.949
Co Ag Ir Cl
2 2 2 12
direct
0.333 0.667 0.250
0.667 0.333 0.750
0.000 0.000 0.000
0.000 0.000 0.500
0.667 0.333 0.250
0.333 0.667 0.750
0.646 0.637 0.139
0.991 0.354 0.139
0.354 0.991 0.639
0.009 0.646 0.861
0.363 0.354 0.361
0.991 0.637 0.361
0.637 0.991 0.861
0.646 0.009 0.361
0.009 0.363 0.639
0.363 0.009 0.139
0.637 0.646 0.639
0.354 0.363 0.861
```

=====

Entry 7:
Density functional theory data (PBE-GGA) for a relaxed structure of CeYW4.

Output
Symmetry: F-43m, No. 216
DFT formation energy, kcal/mol of atoms: 4.7

Geometry as POSCAR:
```
CeYW4
1.0
-0.856 5.249 1.614
-1.962 1.057 5.091
3.304 2.304 3.829
Y Ce W
1 1 4
direct
0.000 0.000 0.000
0.250 0.250 0.250
0.625 0.625 0.126
0.625 0.126 0.625
0.625 0.625 0.625
0.126 0.625 0.625
```

=====

Entry 8:
Density functional theory data (PBE-GGA) for a relaxed structure of AgHgIO2.

Output
Uncorrected formation energy, eV/atom: 0.364
Symmetry: P4/mmm, No. 123
ΔE to the lowest computed polymorph, meV per atom: 0.0

Geometry as POSCAR:
```
AgHgIO2
1.0
-0.776 -4.051 -0.628
3.925 -0.918 1.076
-2.072 -0.684 6.976
I O Hg Ag
1 2 1 1
direct
0.000 0.000 0.500
0.000 0.500 0.000
0.500 0.000 0.000
0.000 0.000 0.000
0.500 0.500 0.500
```

=====

Entry 9:
Density functional theory data (PBE-GGA) for a relaxed structure of KAlSn2Se.

Output
Uncorrected formation energy, eV/atom: 1.294
Symmetry: P4/mmm, No. 123

Geometry as POSCAR:
```
KAlSn2Se
1.0
-1.008 -2.612 -5.292
-1.042 -4.888 2.611
-5.797 1.444 0.391
K Sn Se Al
1 2 1 1
direct
0.000 0.000 0.000
0.000 0.000 0.500
0.500 0.000 0.000
0.500 0.500 0.500
0.000 0.500 0.000
```

=====

Entry 10:
Density functional theory data (PBE-GGA) for a relaxed structure of CaTl2Se.

Output
Uncorrected formation energy, eV/atom: -0.753
Symmetry: P4mm, No. 99

Geometry as POSCAR:
```
CaTl2Se
1.0
-1.249 3.439 1.648
-3.638 -1.593 0.568
2.178 -2.515 6.899
Tl Ca Se
2 1 1
direct
0.000 0.000 0.025
0.500 0.500 0.252
0.000 0.000 0.575
0.500 0.500 0.648
```

=====

Entry 11:
Density functional theory data (PBE-GGA) for a relaxed structure of YCdSn2.

Output
Symmetry: P4/mmm, No. 123
DFT formation energy, kcal/mol of atoms: -10.5

Geometry as POSCAR:
```
YCdSn2
1.0
4.434 0.000 0.000
0.000 4.753 0.000
0.000 0.000 4.753
Y Sn Cd
1 2 1
direct
0.500 0.000 0.000
0.000 0.000 0.500
0.000 0.500 0.000
0.500 0.500 0.500
```

=====

Entry 12:
Density functional theory data (PBE-GGA) for a relaxed structure of Tb3Dy6Y2.

Output
Symmetry: R-3m, No. 166
ΔE to the lowest computed polymorph, meV per atom: 0.0
DFT formation energy, kcal/mol of atoms: 0.4

Geometry as POSCAR:
```
Tb3Dy6Y2
1.0
-0.624 2.624 2.314
-1.192 -0.753 3.262
29.386 -1.473 12.330
Tb Dy Y
3 6 2
direct
0.000 0.000 0.000
0.727 0.727 0.818
0.273 0.273 0.182
0.909 0.909 0.272
0.091 0.091 0.728
0.818 0.818 0.545
0.182 0.182 0.455
0.636 0.636 0.091
0.364 0.364 0.909
0.545 0.545 0.364
0.455 0.455 0.636
```

=====

Quick rundown of magnetization, same order as above: 1.00; 0.00; 0.00; 0.00; 0.00; 6.11; 0.00; 1.20; 0.00; 0.00; 0.00; 0.00 Bohr magnetons per cell
Quick rundown of N(E_F), same order as above: 0.000; 0.686; 0.117; 0.555; 0.697; 0.257; 1.523; 0.796; 1.181; 0.305; 0.323; 1.383 states/eV/atom